Record 1
Crystalline BaAu2SeO at its relaxed geometry, computed with PBE-GGA.

Summary:
E_form (uncorrected) (eV/f.u.): 2.329
SG: No. 123

Cell lengths 6.0300, 6.0300, 4.3630 Å; angles 90.00, 90.00, 90.00 degrees
Positions (direct):
Ba  0.0000  0.0000  0.0000
Au  0.0000  0.5000  0.0000
Au  0.5000  0.0000  0.0000
Se  0.5000  0.5000  0.5000
O  0.0000  0.0000  0.5000

=====

Record 2
Crystalline ThZrSc at its relaxed geometry, computed with PBE-GGA.

Summary:
Energy relative to the lowest polymorph listed for this composition (meV per atom): 9
SG: No. 156

Cell lengths 5.2653, 5.2653, 3.3751 Å; angles 90.00, 90.00, 120.00 degrees
Positions (direct):
Th  0.0000  0.0000  0.0000
Zr  0.3333  0.6667  0.4991
Sc  0.6667  0.3333  0.5011

=====

Record 3
Crystalline TbTmNp2S4 at its relaxed geometry, computed with PBE-GGA.

Summary:
E_form (uncorrected) (eV/f.u.): -13.464
SG: No. 10

Cell lengths 6.7441, 3.8942, 6.7616 Å; angles 90.00, 109.40, 90.00 degrees
Positions (direct):
Tb  0.0000  0.0000  0.0000
Tm  0.0000  0.5000  0.5000
Np  0.5000  0.0000  0.5000
Np  0.5000  0.5000  0.0000
S  0.2462  0.0000  0.7452
S  0.2491  0.5000  0.2531
S  0.7509  0.5000  0.7469
S  0.7538  0.0000  0.2548

=====

Copy entry 2 word for word.
Crystalline ThZrSc at its relaxed geometry, computed with PBE-GGA.

Summary:
Energy relative to the lowest polymorph listed for this composition (meV per atom): 9
SG: No. 156

Cell lengths 5.2653, 5.2653, 3.3751 Å; angles 90.00, 90.00, 120.00 degrees
Positions (direct):
Th  0.0000  0.0000  0.0000
Zr  0.3333  0.6667  0.4991
Sc  0.6667  0.3333  0.5011